{
  "formula": "Pm5Nd2",
  "functional": "PBE",
  "state": "optimized geometry",
  "lattice": [[-5.678, -0.225, 0.431], [2.219, -2.610, -4.554], [2.732, -5.706, 6.118]],
  "species": ["Pm", "Pm", "Pm", "Pm", "Pm", "Nd", "Nd"],
  "fractional_positions": [[0.142, 0.071, 0.713], [0.858, 0.929, 0.287], [0.286, 0.642, 0.428], [0.714, 0.358, 0.572], [0.000, 0.500, 0.000], [0.429, 0.214, 0.143], [0.571, 0.786, 0.857]],
  "e_tot_ev_per_atom": -4.65,
  "ef_kj_per_mol_fu": 70.7,
  "spacegroup": "C2/m",
  "crystal_system": "monoclinic",
  "magmom_total_mub_per_cell": 0.0
}

***

{
  "formula": "Be3Br",
  "functional": "PBE",
  "state": "optimized geometry",
  "lattice": [[2.946, 0.000, 0.000], [0.000, 3.044, -0.009], [0.000, 0.018, 6.119]],
  "species": ["Be", "Be", "Be", "Br"],
  "fractional_positions": [[0.000, 0.250, 0.932], [0.500, 0.750, 0.750], [0.000, 0.250, 0.568], [0.500, 0.250, 0.250]],
  "e_tot_ev_per_atom": -2.63,
  "spacegroup": "Pmmm",
  "crystal_system": "orthorhombic",
  "magmom_total_mub_per_cell": 0.0,
  "raw_formation_energy_ev_per_atom": 0.58
}

***

{
  "formula": "ScIn2Ir",
  "functional": "PBE",
  "state": "optimized geometry",
  "lattice": [[-2.437, 5.232, 7.676], [-0.801, 2.851, 9.136], [0.787, 5.390, 7.909]],
  "species": ["In", "In", "Ir", "Sc"],
  "fractional_positions": [[0.003, 0.003, 0.003], [0.240, 0.240, 0.240], [0.495, 0.495, 0.495], [0.762, 0.762, 0.762]],
  "e_tot_ev_per_atom": -5.34,
  "ef_kj_per_mol_fu": -65.6,
  "spacegroup": "R3m",
  "crystal_system": "trigonal",
  "magmom_total_mub_per_cell": 0.0
}

***

{
  "formula": "NbGa2Rh3",
  "functional": "PBE",
  "state": "optimized geometry",
  "lattice": [[-1.653, 2.382, 0.456], [-0.377, -0.797, 2.800], [8.315, 5.269, 2.619]],
  "species": ["Nb", "Ga", "Ga", "Rh", "Rh", "Rh"],
  "fractional_positions": [[0.500, 0.500, 0.500], [0.500, 0.500, 0.842], [0.500, 0.500, 0.158], [0.000, 0.000, 0.000], [0.000, 0.000, 0.689], [0.000, 0.000, 0.311]],
  "e_tot_ev_per_atom": -7.00,
  "ef_kj_per_mol_fu": -370.6,
  "spacegroup": "P4/mmm",
  "crystal_system": "tetragonal",
  "magmom_total_mub_per_cell": 0.0
}

***

{
  "formula": "AlCuO",
  "functional": "PBE",
  "state": "optimized geometry",
  "lattice": [[-2.423, 0.672, 1.253], [-2.141, -2.578, -2.759], [1.815, -4.634, 2.920]],
  "species": ["Al", "Al", "Cu", "Cu", "O", "O"],
  "fractional_positions": [[0.160, 0.876, 0.816], [0.840, 0.376, 0.184], [0.555, 0.443, 0.596], [0.445, 0.943, 0.404], [0.294, 0.629, 0.091], [0.706, 0.129, 0.909]],
  "e_tot_ev_per_atom": -5.66,
  "spacegroup": "P2_1",
  "crystal_system": "monoclinic",
  "magmom_total_mub_per_cell": 0.0,
  "raw_formation_energy_ev_per_atom": -1.39
}

***

{
  "formula": "Pm15Ho4Al",
  "functional": "PBE",
  "state": "optimized geometry",
  "lattice": [[5.057, 0.000, 0.000], [0.000, 5.057, 0.000], [0.000, 0.000, 25.482]],
  "species": ["Pm", "Pm", "Pm", "Pm", "Pm", "Pm", "Pm", "Pm", "Pm", "Pm", "Pm", "Pm", "Pm", "Pm", "Pm", "Ho", "Ho", "Ho", "Ho", "Al"],
  "fractional_positions": [[0.500, 0.500, 0.000], [0.500, 0.500, 0.195], [0.500, 0.500, 0.398], [0.500, 0.500, 0.602], [0.500, 0.500, 0.805], [0.500, 0.000, 0.094], [0.500, 0.000, 0.297], [0.500, 0.000, 0.500], [0.500, 0.000, 0.703], [0.500, 0.000, 0.906], [0.000, 0.500, 0.094], [0.000, 0.500, 0.297], [0.000, 0.500, 0.500], [0.000, 0.500, 0.703], [0.000, 0.500, 0.906], [0.000, 0.000, 0.196], [0.000, 0.000, 0.399], [0.000, 0.000, 0.601], [0.000, 0.000, 0.804], [0.000, 0.000, 0.000]],
  "e_tot_ev_per_atom": -4.68,
  "ef_kj_per_mol_fu": -25.0,
  "spacegroup": "P4/mmm",
  "crystal_system": "tetragonal",
  "magmom_total_mub_per_cell": 0.0
}